Material: CaZrCu2
Method: DFT, PBE-GGA
State: optimized geometry

Cell: 7.549 7.549 7.549 Å, 28.88 28.88 28.88°
Element x y z (fractional)
Ca: 0.000 0.000 0.000
Zr: 0.500 0.500 0.500
Cu: 0.239 0.239 0.239
Cu: 0.761 0.761 0.761

Summary:
**Space-group type**: R-3m, No. 166
**Crystal system**: trigonal
**ΔH_f (0 K)**: 0.187 eV/atom

Material: CaZrCu2
Method: DFT, PBE-GGA
State: optimized geometry

Cell: 5.450 5.450 5.450 Å, 49.45 49.45 49.45°
Element x y z (fractional)
Ca: 0.000 0.000 0.000
Zr: 0.500 0.500 0.500
Cu: 0.202 0.202 0.202
Cu: 0.798 0.798 0.798

Summary:
**Space-group type**: R-3m, No. 166
**Crystal system**: trigonal
**ΔH_f (0 K)**: 0.027 eV/atom

Material: CaZrCu2
Method: DFT, PBE-GGA
State: optimized geometry

Cell: 5.955 5.955 5.955 Å, 150.32 132.44 57.08°
Element x y z (fractional)
Ca: 0.000 0.000 0.000
Zr: 0.705 0.205 0.500
Cu: 0.271 0.771 0.500
Cu: 0.461 0.461 0.000

Summary:
**Space-group type**: Imm2, No. 44
**Crystal system**: orthorhombic
**ΔH_f (0 K)**: 0.109 eV/atom

Material: Ca2ZrCu
Method: DFT, PBE-GGA
State: optimized geometry

Cell: 5.930 5.930 5.930 Å, 134.41 134.41 66.45°
Element x y z (fractional)
Ca: 0.000 0.000 0.000
Ca: 0.750 0.250 0.500
Zr: 0.500 0.500 0.000
Cu: 0.250 0.750 0.500

Summary:
**Space-group type**: I-4m2, No. 119
**Crystal system**: tetragonal
**ΔH_f (0 K)**: 0.482 eV/atom
**Relative energy among the computed polymorphs**: 398.3 meV per atom

Material: CaZrCu2
Method: DFT, PBE-GGA
State: optimized geometry

Cell: 5.541 5.541 4.894 Å, 106.07 106.07 32.17°
Element x y z (fractional)
Ca: 0.000 0.000 0.000
Zr: 0.794 0.794 0.370
Cu: 0.236 0.236 0.822
Cu: 0.548 0.548 0.531

Summary:
**Space-group type**: Cm, No. 8
**Crystal system**: monoclinic
**ΔH_f (0 K)**: 0.096 eV/atom

Material: Ca2ZrCu
Method: DFT, PBE-GGA
State: optimized geometry

Cell: 6.528 6.528 6.528 Å, 149.03 133.41 57.00°
Element x y z (fractional)
Ca: 0.197 0.197 0.000
Ca: 0.803 0.803 0.000
Zr: 0.500 0.000 0.500
Cu: 0.000 0.500 0.500

Summary:
**Space-group type**: Immm, No. 71
**Crystal system**: orthorhombic
**ΔH_f (0 K)**: 0.310 eV/atom
**Relative energy among the computed polymorphs**: 225.7 meV per atom

Material: Ca2ZrCu
Method: DFT, PBE-GGA
State: optimized geometry

Cell: 5.976 5.976 5.976 Å, 136.51 136.51 63.19°
Element x y z (fractional)
Ca: 0.250 0.750 0.500
Ca: 0.750 0.250 0.500
Zr: 0.000 0.000 0.000
Cu: 0.500 0.500 0.000

Summary:
**Space-group type**: I4/mmm, No. 139
**Crystal system**: tetragonal
**ΔH_f (0 K)**: 0.463 eV/atom
**Relative energy among the computed polymorphs**: 378.7 meV per atom

Material: Ca2ZrCu
Method: DFT, PBE-GGA
State: optimized geometry

Cell: 3.331 3.331 9.232 Å, 90.00 90.00 90.00°
Element x y z (fractional)
Ca: 0.000 0.000 0.212
Ca: 0.000 0.000 0.788
Zr: 0.500 0.500 0.500
Cu: 0.500 0.500 0.000

Summary:
**Space-group type**: P4/mmm, No. 123
**Crystal system**: tetragonal
**ΔH_f (0 K)**: 0.209 eV/atom
**Relative energy among the computed polymorphs**: 125.1 meV per atom

Material: Ca3ZrCu
Method: DFT, PBE-GGA
State: optimized geometry

Cell: 5.677 5.677 5.677 Å, 90.00 90.00 90.00°
Element x y z (fractional)
Ca: 0.000 0.000 0.500
Ca: 0.000 0.500 0.000
Ca: 0.500 0.000 0.000
Zr: 0.000 0.000 0.000
Cu: 0.500 0.500 0.500

Summary:
**Space-group type**: Pm-3m, No. 221
**Crystal system**: cubic
**ΔH_f (0 K)**: 1.179 eV/atom
**Relative energy among the computed polymorphs**: 718.3 meV per atom

Material: CaZrCu2
Method: DFT, PBE-GGA
State: optimized geometry

Cell: 4.652 4.652 4.652 Å, 60.00 60.00 60.00°
Element x y z (fractional)
Ca: 0.000 0.000 0.000
Zr: 0.750 0.750 0.750
Cu: 0.250 0.250 0.250
Cu: 0.500 0.500 0.500

Summary:
**Space-group type**: F-43m, No. 216
**Crystal system**: cubic
**ΔH_f (0 K)**: 0.292 eV/atom

Material: Ca3ZrCu
Method: DFT, PBE-GGA
State: optimized geometry

Cell: 5.488 5.488 5.488 Å, 90.00 90.00 90.00°
Element x y z (fractional)
Ca: 0.000 0.000 0.500
Ca: 0.000 0.500 0.000
Ca: 0.500 0.000 0.000
Zr: 0.500 0.500 0.500
Cu: 0.000 0.000 0.000

Summary:
**Space-group type**: Pm-3m, No. 221
**Crystal system**: cubic
**ΔH_f (0 K)**: 0.461 eV/atom
**Relative energy among the computed polymorphs**: 0.0 meV per atom

Material: Ca2ZrCu
Method: DFT, PBE-GGA
State: optimized geometry

Cell: 10.232 10.232 10.232 Å, 19.67 19.67 19.67°
Element x y z (fractional)
Ca: 0.240 0.240 0.240
Ca: 0.760 0.760 0.760
Zr: 0.000 0.000 0.000
Cu: 0.500 0.500 0.500

Summary:
**Space-group type**: R-3m, No. 166
**Crystal system**: trigonal
**ΔH_f (0 K)**: 0.314 eV/atom
**Relative energy among the computed polymorphs**: 229.6 meV per atom

Material: Ca2ZrCu
Method: DFT, PBE-GGA
State: optimized geometry

Cell: 3.879 5.015 5.135 Å, 90.00 90.00 90.00°
Element x y z (fractional)
Ca: 0.000 0.000 0.000
Ca: 0.500 0.500 0.000
Zr: 0.000 0.500 0.500
Cu: 0.500 0.000 0.500

Summary:
**Space-group type**: Pmmm, No. 47
**Crystal system**: orthorhombic
**ΔH_f (0 K)**: 0.416 eV/atom
**Relative energy among the computed polymorphs**: 331.7 meV per atom

Material: CaZrCu2
Method: DFT, PBE-GGA
State: optimized geometry

Cell: 3.263 4.855 4.857 Å, 90.00 90.00 90.00°
Element x y z (fractional)
Ca: 0.000 0.000 0.000
Zr: 0.000 0.500 0.496
Cu: 0.500 0.000 0.502
Cu: 0.500 0.500 0.991

Summary:
**Space-group type**: Pmm2, No. 25
**Crystal system**: orthorhombic
**ΔH_f (0 K)**: -0.010 eV/atom

Material: CaZrCu2
Method: DFT, PBE-GGA
State: optimized geometry

Cell: 9.165 9.165 9.165 Å, 20.46 20.46 20.46°
Element x y z (fractional)
Ca: 0.000 0.000 0.000
Zr: 0.777 0.777 0.777
Cu: 0.248 0.248 0.248
Cu: 0.521 0.521 0.521

Summary:
**Space-group type**: R3m, No. 160
**Crystal system**: trigonal
**ΔH_f (0 K)**: 0.317 eV/atom